! Li5Fe2Ni5O12 (SCAN, single point on PBEsol structure); values from VASP
&SYSTEM
  ibrav = 0, nat = 24, ntyp = 4
/
ATOMIC_SPECIES
Ni 58.69 Ni.upf
Fe 55.84 Fe.upf
O 16.00 O.upf
Li 6.94 Li.upf
ATOMIC_POSITIONS angstrom
Ni -3.6968 2.4709 6.0044
Ni -2.0344 2.2377 8.3874
Ni -0.6766 -0.5429 3.4774
Ni -3.5748 -0.0304 7.4547
Ni -2.2496 -0.2561 1.1618
Fe -4.4665 -1.1828 2.7125
Fe -1.3575 0.8878 5.9089
O -2.4372 4.0610 8.9469
O -0.3846 -0.0974 1.6023
O -3.2512 0.5610 5.5815
O -4.0194 1.8610 7.8883
O -2.4242 1.7837 10.3544
O -4.7309 -1.7299 4.4886
O -1.0957 1.4329 4.1125
O -1.7341 2.6944 6.3419
O -0.0869 2.6353 8.7585
O -2.6305 -0.8100 3.0306
O -5.4852 -0.1817 7.0461
O -1.6774 0.3880 7.7084
Li -2.8618 -1.4040 4.9969
Li 0.1652 3.1639 6.8544
Li -4.2889 1.3681 9.8980
Li -3.0007 1.0824 3.5309
Li -2.1276 -2.7553 2.6109
CELL_PARAMETERS angstrom
-4.5590 0.7130 1.6133
-2.0974 -3.3752 2.9703
1.6637 4.7562 8.0630
! Formation energy from raw total energies ... -1.671 eV per atom
! E_tot ... -244.0 eV/cell
! Mass density ... 5.3 g/cm3
! Density of states at the Fermi level ... 4.1 states/eV/cell



! Li3Fe2NiO6 (SCAN, single point on PBEsol structure); values from VASP
&SYSTEM
  ibrav = 0, nat = 12, ntyp = 4
/
ATOMIC_SPECIES
Li 6.94 Li.upf
Fe 55.84 Fe.upf
Ni 58.69 Ni.upf
O 16.00 O.upf
ATOMIC_POSITIONS angstrom
Li -2.6227 -1.7735 0.0684
Li -2.2975 -3.5669 -2.1150
Li 1.9558 -3.7762 0.6867
Fe 0.0199 -2.3529 -0.9227
Fe -0.3616 -4.9902 -0.5056
Ni -0.3877 -0.4973 1.2599
O 0.6329 -2.2535 0.8807
O 1.0692 -3.9230 -1.2196
O -0.9746 -5.0896 -2.3090
O 0.6116 -6.5943 -0.8393
O -0.9533 -0.7488 -0.5889
O -1.4109 -3.4201 -0.2087
CELL_PARAMETERS angstrom
-0.7754 -0.9947 2.5198
-4.4700 -2.5524 -2.3831
4.9037 -3.7960 -1.5650
! Formation energy from raw total energies ... -1.811 eV per atom
! E_tot ... -118.7 eV/cell
! Mass density ... 4.9 g/cm3
! Density of states at the Fermi level ... 6.4 states/eV/cell



! Li6Fe5NiO12 (SCAN, single point on PBEsol structure); values from VASP
&SYSTEM
  ibrav = 0, nat = 24, ntyp = 4
/
ATOMIC_SPECIES
Li 6.94 Li.upf
Fe 55.84 Fe.upf
Ni 58.69 Ni.upf
O 16.00 O.upf
ATOMIC_POSITIONS angstrom
Li 1.6483 2.8522 7.1194
Li 2.4318 1.4184 2.4185
Li 0.0148 2.8152 2.4185
Li 1.6476 0.0614 7.1146
Li -0.7694 1.4582 7.1146
Li 0.0141 0.0245 2.4138
Fe 0.8312 1.4383 4.7666
Fe 3.2433 0.0443 4.7666
Fe -1.5809 2.8323 4.7666
Fe 2.4178 1.3935 -0.0249
Fe 0.0003 2.7906 -0.0249
Ni 0.0000 0.0000 0.0000
O 1.6355 2.8301 3.7128
O 3.2240 0.1509 8.4588
O -1.4789 2.8687 8.4588
O 2.4447 1.4516 5.8045
O 0.0371 2.8430 5.8045
O 0.8062 1.3950 8.4597
O 0.8562 1.4816 1.0734
O 1.6253 0.0337 3.7286
O -0.7823 1.4250 3.7286
O 3.1414 0.0079 1.0743
O -1.5615 2.7258 1.0743
O 0.0269 0.0466 5.8203
CELL_PARAMETERS angstrom
4.8355 -0.0037 -0.0249
-2.4174 4.1878 -0.0249
-0.7556 -1.3075 9.5829
! Formation energy from raw total energies ... -1.831 eV per atom
! E_tot ... -239.9 eV/cell
! Mass density ... 4.9 g/cm3
! Density of states at the Fermi level ... 8.6 states/eV/cell



! Li3FeNi4O8 (SCAN, single point on PBEsol structure); values from VASP
&SYSTEM
  ibrav = 0, nat = 16, ntyp = 4
/
ATOMIC_SPECIES
Ni 58.69 Ni.upf
Fe 55.84 Fe.upf
O 16.00 O.upf
Li 6.94 Li.upf
ATOMIC_POSITIONS angstrom
Ni 2.8616 -1.6461 2.3307
Ni 0.0000 0.0000 0.0000
Ni 1.4308 2.5027 -0.0134
Ni -1.4308 2.5027 -0.0134
Fe 2.8616 0.0000 0.0000
O 0.0000 0.1189 3.6362
O 1.3527 2.4854 3.5360
O -1.3527 2.4854 3.5360
O 2.8616 -0.0310 3.6033
O 0.0000 1.7442 1.0314
O 4.2143 -0.7722 1.0987
O 1.5089 -0.7722 1.0987
O 2.8616 1.5943 0.9985
Li 1.4308 0.8566 2.3173
Li 0.0000 -1.6461 2.3307
Li -1.4308 0.8566 2.3173
CELL_PARAMETERS angstrom
5.7231 0.0000 0.0000
-2.8616 5.0055 -0.0267
0.0000 -3.2922 4.6614
! Formation energy from raw total energies ... -1.637 eV per atom
! E_tot ... -166.0 eV/cell
! Mass density ... 5.5 g/cm3
! Density of states at the Fermi level ... 4.8 states/eV/cell